(a)
# PBE-GGA KAsBr2, relaxed
data_KAsBr2
_chemical_formula_sum 'K1 As1 Br2'
_cell_length_a 4.3738
_cell_length_b 4.5081
_cell_length_c 6.1427
_cell_angle_alpha 90.00
_cell_angle_beta 90.25
_cell_angle_gamma 90.00
_space_group_name_H-M_alt 'P 1 2/m 1'
_space_group_IT_number 10
loop_
_space_group_symop_operation_xyz
'x,y,z'
'-x,-y,-z'
'-x,y,-z'
'x,-y,z'
loop_
_atom_site_label
_atom_site_type_symbol
_atom_site_fract_x
_atom_site_fract_y
_atom_site_fract_z
K1 K 0.0000 0.0000 0.0000
As1 As 0.5000 0.5000 0.5000
Br1 Br 0.0000 0.0000 0.5000
Br2 Br 0.5000 0.5000 0.0000
# size of the total moment	0.00	μB/f.u.
# volume	30.28	Å³ per atom
# D(E_F)	0.28	states/eV/atom

(b)
# PBE-GGA KAsBr2, relaxed
data_KAsBr2
_chemical_formula_sum 'K3 As3 Br6'
_cell_length_a 4.0471
_cell_length_b 4.0471
_cell_length_c 28.6474
_cell_angle_alpha 90.00
_cell_angle_beta 90.00
_cell_angle_gamma 120.00
_space_group_name_H-M_alt 'R -3 m'
_space_group_IT_number 166
_space_group_name_Hall '-R 3 2"'
loop_
_atom_site_label
_atom_site_type_symbol
_atom_site_fract_x
_atom_site_fract_y
_atom_site_fract_z
K1 K 0.0000 0.0000 0.0000
As1 As 0.0000 0.0000 0.5000
Br1 Br 0.0000 0.0000 0.4092
# size of the total moment	0.00	μB/f.u.
# volume	33.86	Å³ per atom
# D(E_F)	0.31	states/eV/atom

(c)
# PBE-GGA KAsBr2, relaxed
data_KAsBr2
_chemical_formula_sum 'K4 As4 Br8'
_cell_length_a 7.8069
_cell_length_b 7.8069
_cell_length_c 7.8069
_cell_angle_alpha 90.00
_cell_angle_beta 90.00
_cell_angle_gamma 90.00
_space_group_name_H-M_alt 'F m -3 m'
_space_group_IT_number 225
_space_group_name_Hall '-F 4 2 3'
loop_
_atom_site_label
_atom_site_type_symbol
_atom_site_fract_x
_atom_site_fract_y
_atom_site_fract_z
K1 K 0.0000 0.0000 0.0000
As1 As 0.0000 0.0000 0.5000
Br1 Br 0.2500 0.2500 0.2500
# size of the total moment	2.00	μB/f.u.
# volume	29.74	Å³ per atom
# D(E_F)	1.37	states/eV/atom

Stability verdict: (b), ahead by 24 meV/atom

(a)
# PBE-GGA K2AsBr2, relaxed
data_K2AsBr2
_chemical_formula_sum 'K4 As2 Br4'
_cell_length_a 8.4654
_cell_length_b 8.4654
_cell_length_c 4.4483
_cell_angle_alpha 90.00
_cell_angle_beta 90.00
_cell_angle_gamma 90.00
_space_group_name_H-M_alt 'P 4/m b m'
_space_group_IT_number 127
_space_group_name_Hall '-P 4 2ab'
loop_
_atom_site_label
_atom_site_type_symbol
_atom_site_fract_x
_atom_site_fract_y
_atom_site_fract_z
K1 K 0.1520 0.3480 0.0000
As1 As 0.0000 0.0000 0.5000
Br1 Br 0.1627 0.6627 0.5000
# size of the total moment	0.00	μB/f.u.
# volume	31.88	Å³ per atom
# D(E_F)	0.67	states/eV/atom

(b)
# PBE-GGA K2AsBr2, relaxed
data_K2AsBr2
_chemical_formula_sum 'K4 As2 Br4'
_cell_length_a 6.4536
_cell_length_b 6.4536
_cell_length_c 9.2459
_cell_angle_alpha 90.00
_cell_angle_beta 90.00
_cell_angle_gamma 90.00
_space_group_name_H-M_alt 'I 4/m m m'
_space_group_IT_number 139
_space_group_name_Hall '-I 4 2'
loop_
_atom_site_label
_atom_site_type_symbol
_atom_site_fract_x
_atom_site_fract_y
_atom_site_fract_z
K1 K 0.0000 0.5000 0.2500
As1 As 0.0000 0.0000 0.0000
Br1 Br 0.0000 0.0000 0.2964
# size of the total moment	1.00	μB/f.u.
# volume	38.51	Å³ per atom
# D(E_F)	1.02	states/eV/atom

Stability verdict: (b), ahead by 50 meV/atom